Below is an optimized crystal structure of Rb2TiCrF6, with properties calculated at the PBE+U level.

a b c (Å): 6.1872 6.1872 8.7129
angles (deg): 90.00 90.00 90.00
Space group I4/mmm (No. 139)
Inequivalent atoms, fractional coordinates:
1 Rb 0.0000 0.5000 0.2500 x4
2 Ti 0.0000 0.0000 0.0000 x2
3 Cr 0.0000 0.0000 0.5000 x2
4 F 0.0000 0.0000 0.2271 x4
5 F 0.2317 0.2317 0.0000 x8

Properties
E_tot = -111.92 eV/cell
magnetic moment = 0.60 μB per atom